No. 1
Rb2AsPdCl6: optimized geometry, GGA-PBE.

The electronic total energy is -3.378 eV/atom. For the mass density, the calculation gives 3603 kg/m3.

a b c (Å): 7.168 7.168 7.168
angles (deg): 60.00 60.00 60.00
Element x y z (fractional)
Rb  0.750  0.750  0.750
Rb  0.250  0.250  0.250
Cl  0.249  0.751  0.751
Cl  0.751  0.249  0.751
Cl  0.751  0.249  0.249
Cl  0.249  0.249  0.751
Cl  0.751  0.751  0.249
Cl  0.249  0.751  0.249
As  0.000  0.000  0.000
Pd  0.500  0.500  0.500



No. 2
TlTe2OsAuS: optimized geometry, GGA-PBE.

The electronic total energy is -4.494 eV/atom. For the mass density, the calculation gives 8516 kg/m3. Its total moment is 0.00 μB per atom.

a b c (Å): 9.302 9.302 8.986
angles (deg): 90.00 90.00 153.85
Element x y z (fractional)
Os  0.000  0.000  0.000
Os  0.000  0.000  0.500
Au  0.646  0.354  0.750
Au  0.354  0.646  0.250
S  0.992  0.008  0.250
S  0.008  0.992  0.750
Te  0.600  0.400  0.029
Te  0.400  0.600  0.529
Te  0.600  0.400  0.471
Te  0.400  0.600  0.971
Tl  0.258  0.742  0.750
Tl  0.742  0.258  0.250



No. 3
CsDySO: optimized geometry, GGA-PBE.

The electronic total energy is -5.770 eV/atom. For the mass density, the calculation gives 6219 kg/m3. Its total moment is 0.00 μB per atom.

a b c (Å): 3.763 3.763 14.955
angles (deg): 90.00 90.00 120.00
Element x y z (fractional)
Dy  0.667  0.333  0.720
Dy  0.667  0.333  0.280
Cs  0.000  0.000  0.500
Cs  0.333  0.667  0.000
O  0.333  0.667  0.349
O  0.333  0.667  0.651
S  0.000  0.000  0.828
S  0.000  0.000  0.172



No. 4
LiHf2In2CuPt2: optimized geometry, GGA-PBE.

The electronic total energy is -6.028 eV/atom. For the mass density, the calculation gives 12592 kg/m3. Its total moment is 0.00 μB per atom.

a b c (Å): 4.603 4.603 6.519
angles (deg): 90.00 90.00 90.00
Element x y z (fractional)
In  0.000  0.500  0.750
In  0.500  0.000  0.250
Pt  0.000  0.000  0.500
Pt  0.500  0.500  0.000
Hf  0.500  0.000  0.755
Hf  0.000  0.500  0.245
Li  0.500  0.500  0.500
Cu  0.000  0.000  0.000



- Among the records above, which one has the lowest electronic total energy?
  LiHf2In2CuPt2



Repeat the second record exactly.
TlTe2OsAuS: optimized geometry, GGA-PBE.

The electronic total energy is -4.494 eV/atom. For the mass density, the calculation gives 8516 kg/m3. Its total moment is 0.00 μB per atom.

a b c (Å): 9.302 9.302 8.986
angles (deg): 90.00 90.00 153.85
Element x y z (fractional)
Os  0.000  0.000  0.000
Os  0.000  0.000  0.500
Au  0.646  0.354  0.750
Au  0.354  0.646  0.250
S  0.992  0.008  0.250
S  0.008  0.992  0.750
Te  0.600  0.400  0.029
Te  0.400  0.600  0.529
Te  0.600  0.400  0.471
Te  0.400  0.600  0.971
Tl  0.258  0.742  0.750
Tl  0.742  0.258  0.250



- What is the mass density in the third record?
  6219 kg/m3



- The lowest mass density belongs to which entry?
  Rb2AsPdCl6